## Cd2TcNiO6 (PBE+U)

Data for a relaxed structure of Cd2TcNiO6.

Cell: 5.217 5.217 4.937 Å, 90.00 90.00 90.00°
Space group P4mm (No. 99)
Inequivalent atoms, fractional coordinates:
Cd 0.000 0.500 0.000
Tc 0.000 0.000 0.560
Ni 0.500 0.500 0.563
O 0.000 0.000 0.204
O 0.239 0.239 0.696
O 0.500 0.500 0.168

**Crystal system**: tetragonal
**DFT total energy**: -53.976 eV for the cell shown
**Magnetization**: 2.1 μB/cell